(1)
# Re2HgIr, relaxed, DFT PBE
# symmetry	I-4m2 (119)
# size of the total moment	0.0	μB per formula unit
# calculated formation energy	0.623	eV/atom
data_Re2HgIr
_cell_length_a 4.874
_cell_length_b 4.874
_cell_length_c 4.874
_cell_angle_alpha 131.50
_cell_angle_beta 131.50
_cell_angle_gamma 71.02
_space_group_name_H-M_alt 'P 1'
_space_group_IT_number 1
loop_
_space_group_symop_operation_xyz
'x,y,z'
loop_
_atom_site_label
_atom_site_type_symbol
_atom_site_fract_x
_atom_site_fract_y
_atom_site_fract_z
_atom_site_occupancy
Re1 Re 0.250 0.750 0.500 1
Re2 Re 0.000 0.000 0.000 1
Ir1 Ir 0.750 0.250 0.500 1
Hg1 Hg 0.500 0.500 0.000 1


(2)
# Re2HgIr, relaxed, DFT PBE
# symmetry	Pmm2 (25)
# size of the total moment	0.0	μB per formula unit
# calculated formation energy	0.435	eV/atom
data_Re2HgIr
_cell_length_a 2.808
_cell_length_b 3.927
_cell_length_c 5.887
_cell_angle_alpha 90.00
_cell_angle_beta 90.00
_cell_angle_gamma 90.00
_space_group_name_H-M_alt 'P 1'
_space_group_IT_number 1
loop_
_space_group_symop_operation_xyz
'x,y,z'
loop_
_atom_site_label
_atom_site_type_symbol
_atom_site_fract_x
_atom_site_fract_y
_atom_site_fract_z
_atom_site_occupancy
Hg1 Hg 0.000 0.000 0.503 1
Ir1 Ir 0.500 0.500 0.771 1
Re1 Re 0.500 0.500 0.215 1
Re2 Re 0.000 0.000 0.011 1


(3)
# ReHgIr2, relaxed, DFT PBE
# symmetry	P4mm (99)
# size of the total moment	0.0	μB per formula unit
# calculated formation energy	0.376	eV/atom
data_ReHgIr2
_cell_length_a 2.798
_cell_length_b 2.798
_cell_length_c 8.189
_cell_angle_alpha 90.00
_cell_angle_beta 90.00
_cell_angle_gamma 90.00
_space_group_name_H-M_alt 'P 1'
_space_group_IT_number 1
loop_
_space_group_symop_operation_xyz
'x,y,z'
loop_
_atom_site_label
_atom_site_type_symbol
_atom_site_fract_x
_atom_site_fract_y
_atom_site_fract_z
_atom_site_occupancy
Ir1 Ir 0.000 0.000 0.018 1
Ir2 Ir 0.500 0.500 0.256 1
Re1 Re 0.000 0.000 0.475 1
Hg1 Hg 0.500 0.500 0.751 1


(4)
# ReHg2Ir, relaxed, DFT PBE
# symmetry	I4/mmm (139)
# size of the total moment	2.7	μB per formula unit
# excess energy over the best structure of this formula in the dataset	682	meV/atom
# calculated formation energy	0.969	eV/atom
data_ReHg2Ir
_cell_length_a 5.122
_cell_length_b 5.122
_cell_length_c 5.122
_cell_angle_alpha 132.57
_cell_angle_beta 132.57
_cell_angle_gamma 69.33
_space_group_name_H-M_alt 'P 1'
_space_group_IT_number 1
loop_
_space_group_symop_operation_xyz
'x,y,z'
loop_
_atom_site_label
_atom_site_type_symbol
_atom_site_fract_x
_atom_site_fract_y
_atom_site_fract_z
_atom_site_occupancy
Re1 Re 0.750 0.250 0.500 1
Hg1 Hg 0.500 0.500 0.000 1
Hg2 Hg 0.000 0.000 0.000 1
Ir1 Ir 0.250 0.750 0.500 1


(5)
# ReHg2Ir, relaxed, DFT PBE
# symmetry	Imm2 (44)
# size of the total moment	0.1	μB per formula unit
# excess energy over the best structure of this formula in the dataset	376	meV/atom
# calculated formation energy	0.663	eV/atom
data_ReHg2Ir
_cell_length_a 6.329
_cell_length_b 6.329
_cell_length_c 6.329
_cell_angle_alpha 154.27
_cell_angle_beta 135.35
_cell_angle_gamma 52.25
_space_group_name_H-M_alt 'P 1'
_space_group_IT_number 1
loop_
_space_group_symop_operation_xyz
'x,y,z'
loop_
_atom_site_label
_atom_site_type_symbol
_atom_site_fract_x
_atom_site_fract_y
_atom_site_fract_z
_atom_site_occupancy
Re1 Re 0.280 0.780 0.500 1
Ir1 Ir 0.463 0.463 0.000 1
Hg1 Hg 0.032 0.032 0.000 1
Hg2 Hg 0.724 0.224 0.500 1


(6)
# Re4HgIr, relaxed, DFT PBE
# symmetry	F-43m (216)
# size of the total moment	0.0	μB per formula unit
# calculated formation energy	0.772	eV/atom
data_Re4HgIr
_cell_length_a 5.208
_cell_length_b 5.208
_cell_length_c 5.208
_cell_angle_alpha 60.00
_cell_angle_beta 60.00
_cell_angle_gamma 60.00
_space_group_name_H-M_alt 'P 1'
_space_group_IT_number 1
loop_
_space_group_symop_operation_xyz
'x,y,z'
loop_
_atom_site_label
_atom_site_type_symbol
_atom_site_fract_x
_atom_site_fract_y
_atom_site_fract_z
_atom_site_occupancy
Re1 Re 0.875 0.375 0.375 1
Re2 Re 0.375 0.375 0.875 1
Re3 Re 0.375 0.375 0.375 1
Re4 Re 0.375 0.875 0.375 1
Ir1 Ir 0.000 0.000 0.000 1
Hg1 Hg 0.750 0.750 0.750 1


Copy entry 5 word for word.
# ReHg2Ir, relaxed, DFT PBE
# symmetry	Imm2 (44)
# size of the total moment	0.1	μB per formula unit
# excess energy over the best structure of this formula in the dataset	376	meV/atom
# calculated formation energy	0.663	eV/atom
data_ReHg2Ir
_cell_length_a 6.329
_cell_length_b 6.329
_cell_length_c 6.329
_cell_angle_alpha 154.27
_cell_angle_beta 135.35
_cell_angle_gamma 52.25
_space_group_name_H-M_alt 'P 1'
_space_group_IT_number 1
loop_
_space_group_symop_operation_xyz
'x,y,z'
loop_
_atom_site_label
_atom_site_type_symbol
_atom_site_fract_x
_atom_site_fract_y
_atom_site_fract_z
_atom_site_occupancy
Re1 Re 0.280 0.780 0.500 1
Ir1 Ir 0.463 0.463 0.000 1
Hg1 Hg 0.032 0.032 0.000 1
Hg2 Hg 0.724 0.224 0.500 1


Please write out number 4 again, unchanged.
# ReHg2Ir, relaxed, DFT PBE
# symmetry	I4/mmm (139)
# size of the total moment	2.7	μB per formula unit
# excess energy over the best structure of this formula in the dataset	682	meV/atom
# calculated formation energy	0.969	eV/atom
data_ReHg2Ir
_cell_length_a 5.122
_cell_length_b 5.122
_cell_length_c 5.122
_cell_angle_alpha 132.57
_cell_angle_beta 132.57
_cell_angle_gamma 69.33
_space_group_name_H-M_alt 'P 1'
_space_group_IT_number 1
loop_
_space_group_symop_operation_xyz
'x,y,z'
loop_
_atom_site_label
_atom_site_type_symbol
_atom_site_fract_x
_atom_site_fract_y
_atom_site_fract_z
_atom_site_occupancy
Re1 Re 0.750 0.250 0.500 1
Hg1 Hg 0.500 0.500 0.000 1
Hg2 Hg 0.000 0.000 0.000 1
Ir1 Ir 0.250 0.750 0.500 1


The highest calculated formation energy belongs to which entry? number 4


The highest size of the total moment belongs to which entry? number 4